(1)
# MgPtAu2

MgPtAu2 at its PBEsol-relaxed geometry (SCAN, Alexandria).

```
MgPtAu2
1.0
3.9859 0.0000 0.0000
0.0000 3.9859 0.0000
0.0000 0.0000 8.1919
Mg Pt Au
2 2 4
Cartesian
0.0000 0.0000 0.0000
1.9929 1.9929 4.0960
0.0000 0.0000 4.0960
1.9929 1.9929 0.0000
0.0000 1.9929 2.0480
0.0000 1.9929 6.1439
1.9929 0.0000 2.0480
1.9929 0.0000 6.1439
```

Values from the calculation:
Total DFT energy (no corrections), eV/atom: -53.858
Symmetry: No. 139
Total magnetic moment, Bohr magnetons per cell: 0.0
Crystal system: tetragonal

***

(2)
# Mg2PtAu

Mg2PtAu at its PBEsol-relaxed geometry (SCAN, Alexandria).

```
Mg2PtAu
1.0
9.7674 0.0000 0.0000
0.0000 2.9350 0.0000
-1.0103 0.0000 4.6413
Mg Pt Au
4 2 2
Cartesian
0.0000 0.0000 0.0000
1.5108 0.0000 2.9794
4.8837 1.4675 0.0000
6.3945 1.4675 2.9794
4.2110 0.0000 2.3137
9.0947 1.4675 2.3137
2.2392 1.4675 0.7306
7.1229 0.0000 0.7306
```

Values from the calculation:
Total DFT energy (no corrections), eV/atom: -38.093
Symmetry: No. 8
Total magnetic moment, Bohr magnetons per cell: 0.0
Crystal system: monoclinic

***

Copy entry 2 word for word.
# Mg2PtAu

Mg2PtAu at its PBEsol-relaxed geometry (SCAN, Alexandria).

```
Mg2PtAu
1.0
9.7674 0.0000 0.0000
0.0000 2.9350 0.0000
-1.0103 0.0000 4.6413
Mg Pt Au
4 2 2
Cartesian
0.0000 0.0000 0.0000
1.5108 0.0000 2.9794
4.8837 1.4675 0.0000
6.3945 1.4675 2.9794
4.2110 0.0000 2.3137
9.0947 1.4675 2.3137
2.2392 1.4675 0.7306
7.1229 0.0000 0.7306
```

Values from the calculation:
Total DFT energy (no corrections), eV/atom: -38.093
Symmetry: No. 8
Total magnetic moment, Bohr magnetons per cell: 0.0
Crystal system: monoclinic

***

What did the first record say?
# MgPtAu2

MgPtAu2 at its PBEsol-relaxed geometry (SCAN, Alexandria).

```
MgPtAu2
1.0
3.9859 0.0000 0.0000
0.0000 3.9859 0.0000
0.0000 0.0000 8.1919
Mg Pt Au
2 2 4
Cartesian
0.0000 0.0000 0.0000
1.9929 1.9929 4.0960
0.0000 0.0000 4.0960
1.9929 1.9929 0.0000
0.0000 1.9929 2.0480
0.0000 1.9929 6.1439
1.9929 0.0000 2.0480
1.9929 0.0000 6.1439
```

Values from the calculation:
Total DFT energy (no corrections), eV/atom: -53.858
Symmetry: No. 139
Total magnetic moment, Bohr magnetons per cell: 0.0
Crystal system: tetragonal